[1]
{"formula": "UTi2P4Pd", "functional": "GGA-PBE", "state": "optimized geometry", "crystal_system": "orthorhombic", "n_ef_per_ev_fu": 6.0, "vol_a3_per_atom": 17.41, "e_form_mev_per_atom": -821, "lattice": [[1.840, -6.085, 0.000], [1.840, 6.085, 0.000], [0.000, 0.000, 12.434]], "species": ["U", "U", "Ti", "Ti", "Ti", "Ti", "P", "P", "P", "P", "P", "P", "P", "P", "Pd", "Pd"], "frac_coords": [[0.128, 0.872, 0.750], [0.872, 0.128, 0.250], [0.373, 0.627, 0.562], [0.373, 0.627, 0.938], [0.627, 0.373, 0.062], [0.627, 0.373, 0.438], [0.000, 0.000, 0.000], [0.000, 0.000, 0.500], [0.274, 0.726, 0.112], [0.274, 0.726, 0.388], [0.470, 0.530, 0.750], [0.530, 0.470, 0.250], [0.726, 0.274, 0.612], [0.726, 0.274, 0.888], [0.143, 0.857, 0.250], [0.857, 0.143, 0.750]]}


[2]
{"formula": "Tl2PPd", "functional": "GGA-PBE", "state": "optimized geometry", "crystal_system": "tetragonal", "n_ef_per_ev_fu": 1.6, "vol_a3_per_atom": 26.29, "e_form_mev_per_atom": 345, "lattice": [[7.022, 0.000, 0.000], [0.000, 7.022, 0.000], [0.000, 0.000, 8.529]], "species": ["Tl", "Tl", "Tl", "Tl", "Tl", "Tl", "Tl", "Tl", "P", "P", "P", "P", "Pd", "Pd", "Pd", "Pd"], "frac_coords": [[0.243, 0.250, 0.125], [0.250, 0.743, 0.375], [0.250, 0.757, 0.875], [0.257, 0.250, 0.625], [0.743, 0.750, 0.625], [0.750, 0.243, 0.875], [0.750, 0.257, 0.375], [0.757, 0.750, 0.125], [0.000, 0.000, 0.000], [0.000, 0.500, 0.250], [0.500, 0.000, 0.750], [0.500, 0.500, 0.500], [0.000, 0.000, 0.500], [0.000, 0.500, 0.750], [0.500, 0.000, 0.250], [0.500, 0.500, 0.000]]}


[3]
{"formula": "Tl2PPd5", "functional": "GGA-PBE", "state": "optimized geometry", "crystal_system": "orthorhombic", "n_ef_per_ev_fu": 3.2, "vol_a3_per_atom": 18.33, "e_form_mev_per_atom": -254, "lattice": [[7.996, 0.000, 0.000], [0.000, 5.973, 0.000], [0.000, 0.000, 12.280]], "species": ["Tl", "Tl", "Tl", "Tl", "Tl", "Tl", "Tl", "Tl", "P", "P", "P", "P", "Pd", "Pd", "Pd", "Pd", "Pd", "Pd", "Pd", "Pd", "Pd", "Pd", "Pd", "Pd", "Pd", "Pd", "Pd", "Pd", "Pd", "Pd", "Pd", "Pd"], "frac_coords": [[0.029, 0.250, 0.209], [0.203, 0.750, 0.408], [0.297, 0.250, 0.908], [0.471, 0.750, 0.709], [0.529, 0.250, 0.291], [0.703, 0.750, 0.092], [0.797, 0.250, 0.592], [0.971, 0.750, 0.791], [0.196, 0.750, 0.090], [0.304, 0.250, 0.590], [0.696, 0.750, 0.410], [0.804, 0.250, 0.910], [0.000, 0.000, 0.000], [0.000, 0.500, 0.000], [0.011, 0.250, 0.783], [0.099, 0.513, 0.602], [0.099, 0.987, 0.602], [0.214, 0.250, 0.406], [0.286, 0.750, 0.906], [0.401, 0.013, 0.102], [0.401, 0.487, 0.102], [0.489, 0.750, 0.283], [0.500, 0.000, 0.500], [0.500, 0.500, 0.500], [0.511, 0.250, 0.717], [0.599, 0.513, 0.898], [0.599, 0.987, 0.898], [0.714, 0.250, 0.094], [0.786, 0.750, 0.594], [0.901, 0.013, 0.398], [0.901, 0.487, 0.398], [0.989, 0.750, 0.217]]}


[4]
{"formula": "TlP2Pd3", "functional": "GGA-PBE", "state": "optimized geometry", "crystal_system": "orthorhombic", "n_ef_per_ev_fu": 1.5, "vol_a3_per_atom": 19.00, "e_form_mev_per_atom": -284, "lattice": [[3.302, -6.180, 0.000], [3.302, 6.180, 0.000], [0.000, 0.000, 5.585]], "species": ["Tl", "Tl", "P", "P", "P", "P", "Pd", "Pd", "Pd", "Pd", "Pd", "Pd"], "frac_coords": [[0.073, 0.927, 0.750], [0.927, 0.073, 0.250], [0.340, 0.660, 0.033], [0.340, 0.660, 0.467], [0.660, 0.340, 0.533], [0.660, 0.340, 0.967], [0.020, 0.463, 0.750], [0.463, 0.020, 0.250], [0.488, 0.512, 0.750], [0.512, 0.488, 0.250], [0.537, 0.980, 0.750], [0.980, 0.537, 0.250]]}